The following is a PBE calculation of Pr2BPd6 after structural relaxation, from the Alexandria database.

Cell and atoms, written as POSCAR:
```
Pr2BPd6
1.0
5.920 0.000 0.000
-2.960 5.127 0.000
0.000 0.000 5.281
Pr B Pd
2 1 6
Direct
0.333 0.667 0.268 Pr
0.667 0.333 0.732 Pr
0.000 0.000 0.500 B
0.163 0.326 0.761 Pd
0.163 0.837 0.761 Pd
0.326 0.163 0.239 Pd
0.674 0.837 0.761 Pd
0.837 0.163 0.239 Pd
0.837 0.674 0.239 Pd
```

Calculated values
Raw total energy   -5.95 eV/atom

***

The following is a PBE calculation of PrB2Pd6 after structural relaxation, from the Alexandria database.

Cell and atoms, written as POSCAR:
```
PrB2Pd6
1.0
5.639 0.000 0.000
-2.819 4.883 0.000
0.000 0.000 5.524
Pr B Pd
1 2 6
Direct
0.000 0.000 0.000 Pr
0.333 0.667 0.500 B
0.667 0.333 0.500 B
0.000 0.500 0.249 Pd
0.000 0.500 0.751 Pd
0.500 0.000 0.249 Pd
0.500 0.000 0.751 Pd
0.500 0.500 0.249 Pd
0.500 0.500 0.751 Pd
```

Calculated values
Raw total energy   -5.96 eV/atom

***

Which energy relative to the elements belongs to each record? In order, -0.68 -0.48 eV per atom.